No. 1
{
  "formula": "Na2Ac2TaO6",
  "functional": "GGA-PBE",
  "state": "relaxed",
  "cell": [[3.1484, -5.4929, 0.0000], [3.1484, 5.4929, 0.0000], [-0.7950, 0.0000, 6.0859]],
  "species": ["Na", "Na", "Ac", "Ac", "Ta", "O", "O", "O", "O", "O", "O"],
  "frac_coords": [[0.1336, 0.8664, 0.0000], [0.8664, 0.1336, 0.0000], [0.3357, 0.6643, 0.5000], [0.6643, 0.3357, 0.5000], [0.0000, 0.0000, 0.5000], [0.0202, 0.2985, 0.6707], [0.2437, 0.2437, 0.3148], [0.2985, 0.0202, 0.6707], [0.7015, 0.9798, 0.3293], [0.7563, 0.7563, 0.6852], [0.9798, 0.7015, 0.3293]],
  "space_group": "C2/m (12)",
  "total_magnetization_mub_per_fu": 0.00,
  "formation_energy_uncorrected_ev_per_atom": -2.55,
  "dos_at_fermi_per_ev_atom": 0.194
}

No. 2
{
  "formula": "Na3AcTb2O6",
  "functional": "GGA-PBE",
  "state": "relaxed",
  "cell": [[7.7867, -1.7700, 0.0000], [7.7867, 1.7700, 0.0000], [-1.3357, 0.0000, 6.8099]],
  "species": ["Na", "Na", "Na", "Ac", "Tb", "Tb", "O", "O", "O", "O", "O", "O"],
  "frac_coords": [[0.0000, 0.0000, 0.0000], [0.3220, 0.3220, 0.6602], [0.6780, 0.6780, 0.3398], [0.0000, 0.0000, 0.5000], [0.3309, 0.3309, 0.1543], [0.6691, 0.6691, 0.8457], [0.1638, 0.1638, 0.6186], [0.1796, 0.1796, 0.0680], [0.4829, 0.4829, 0.2445], [0.5171, 0.5171, 0.7555], [0.8204, 0.8204, 0.9320], [0.8362, 0.8362, 0.3814]],
  "space_group": "C2/m (12)",
  "total_magnetization_mub_per_fu": 0.00,
  "formation_energy_uncorrected_ev_per_atom": -2.67,
  "dos_at_fermi_per_ev_atom": 0.000
}

No. 3
{
  "formula": "NaAc2TcO8",
  "functional": "GGA-PBE",
  "state": "relaxed",
  "cell": [[4.3574, 0.0000, 0.0000], [-0.0014, 5.4323, 0.0000], [-0.7394, -0.0809, 7.3340]],
  "species": ["Na", "Ac", "Ac", "Tc", "O", "O", "O", "O", "O", "O", "O", "O"],
  "frac_coords": [[0.0000, 0.0000, 0.0000], [0.3178, 0.5074, 0.7220], [0.6822, 0.4926, 0.2780], [0.0000, 0.0000, 0.5000], [0.1300, 0.4202, 0.0413], [0.2164, 0.2869, 0.4232], [0.2366, 0.7761, 0.3809], [0.2634, 0.9783, 0.7248], [0.7366, 0.0217, 0.2752], [0.7634, 0.2239, 0.6191], [0.7836, 0.7131, 0.5768], [0.8700, 0.5798, 0.9587]],
  "space_group": "P-1 (2)",
  "total_magnetization_mub_per_fu": 0.01,
  "formation_energy_uncorrected_ev_per_atom": -2.07
}

No. 4
{
  "formula": "Na3Ac3TcO8",
  "functional": "GGA-PBE",
  "state": "relaxed",
  "cell": [[3.6557, 2.1106, 5.5816], [-3.6557, 2.1106, 5.5816], [0.0000, -4.2212, 5.5816]],
  "species": ["Na", "Na", "Na", "Ac", "Ac", "Ac", "Tc", "O", "O", "O", "O", "O", "O", "O", "O"],
  "frac_coords": [[0.0000, 0.5000, 0.5000], [0.5000, 0.0000, 0.5000], [0.5000, 0.5000, 0.0000], [0.0000, 0.0000, 0.5000], [0.0000, 0.5000, 0.0000], [0.5000, 0.0000, 0.0000], [0.5000, 0.5000, 0.5000], [0.2421, 0.2421, 0.2421], [0.2834, 0.7088, 0.7088], [0.2912, 0.2912, 0.7166], [0.2912, 0.7166, 0.2912], [0.7088, 0.2834, 0.7088], [0.7088, 0.7088, 0.2834], [0.7166, 0.2912, 0.2912], [0.7579, 0.7579, 0.7579]],
  "space_group": "R-3m (166)",
  "total_magnetization_mub_per_fu": 3.00,
  "formation_energy_uncorrected_ev_per_atom": -2.28
}

What did the first record say?
{
  "formula": "Na2Ac2TaO6",
  "functional": "GGA-PBE",
  "state": "relaxed",
  "cell": [[3.1484, -5.4929, 0.0000], [3.1484, 5.4929, 0.0000], [-0.7950, 0.0000, 6.0859]],
  "species": ["Na", "Na", "Ac", "Ac", "Ta", "O", "O", "O", "O", "O", "O"],
  "frac_coords": [[0.1336, 0.8664, 0.0000], [0.8664, 0.1336, 0.0000], [0.3357, 0.6643, 0.5000], [0.6643, 0.3357, 0.5000], [0.0000, 0.0000, 0.5000], [0.0202, 0.2985, 0.6707], [0.2437, 0.2437, 0.3148], [0.2985, 0.0202, 0.6707], [0.7015, 0.9798, 0.3293], [0.7563, 0.7563, 0.6852], [0.9798, 0.7015, 0.3293]],
  "space_group": "C2/m (12)",
  "total_magnetization_mub_per_fu": 0.00,
  "formation_energy_uncorrected_ev_per_atom": -2.55,
  "dos_at_fermi_per_ev_atom": 0.194
}